Here is an optimized crystal structure of Zn3WF from the Alexandria database. Energies are from PBE+U.

Calculated values
crystal system: cubic
E above lowest polymorph: 389 meV/atom

a b c (Å): 5.3029 5.3029 5.3029
angles (deg): 90.00 90.00 90.00
Space group Pm-3m (No. 221)
Unique sites:
Zn1 0.0000 0.0000 0.5000 [3 per cell]
W1 0.0000 0.0000 0.0000 [1 per cell]
F1 0.5000 0.5000 0.5000 [1 per cell]